(1)
# CdGaHPb2

A geometry-optimized CdGaHPb2 structure (PBE, Alexandria via LeMat-Bulk).

Properties
size of the total moment = 0.000 μB per formula unit
E_tot = -13.73 eV per cell

a = 5.8762 Å, b = 5.8762 Å, c = 3.3710 Å
α = 90.00°, β = 90.00°, γ = 90.00°
Closest atoms and distances in Å follow each position.
Space group P4/mmm (No. 123)
Inequivalent atoms, fractional coordinates:
Cd (0.0000, 0.0000, 0.0000)  2 Cd 3.37, 8 Pb 3.39
Ga (0.5000, 0.5000, 0.5000)  2 H 1.69
H (0.5000, 0.5000, 0.0000)  2 Ga 1.69
Pb (0.0000, 0.5000, 0.5000)  2 Ga 2.94

---

(2)
# NdDySc4

A geometry-optimized NdDySc4 structure (PBE, Alexandria via LeMat-Bulk).

Properties
ΔE_f = 22.27 kJ per mole of atoms
size of the total moment = 6.502 μB per formula unit
energy relative to the lowest polymorph listed for this composition = 193 meV per atom
E_tot = -133.25 eV per cell

a = 8.9262 Å, b = 8.9262 Å, c = 8.9262 Å
α = 90.00°, β = 90.00°, γ = 90.00°
Closest atoms and distances in Å follow each position.
Space group F-43m (No. 216)
Inequivalent atoms, fractional coordinates:
Nd (0.0000, 0.0000, 0.0000)  12 Sc 3.70, 4 Dy 3.87
Dy (0.2500, 0.2500, 0.7500)  12 Sc 3.70, 4 Nd 3.87
Sc (0.1250, 0.1250, 0.3750)  6 Sc 3.15-3.16

---

(3)
# Ba2SrTl2Cd2

A geometry-optimized Ba2SrTl2Cd2 structure (PBE, Alexandria via LeMat-Bulk).

Properties
ΔE_f = -28.85 kJ per mole of atoms
size of the total moment = 0.242 μB per formula unit
E_tot = -42.55 eV per cell

a = 5.2367 Å, b = 5.2367 Å, c = 33.1483 Å
α = 90.00°, β = 90.00°, γ = 120.00°
Closest atoms and distances in Å follow each position.
Space group R-3m (No. 166, hexagonal axes)
Inequivalent atoms, fractional coordinates:
Ba (0.0000, 0.0000, 0.1208)  3 Tl 3.53, 3 Cd 3.76
Sr (0.0000, 0.0000, 0.0000)  6 Cd 3.50, 6 Tl 3.73
Tl (0.0000, 0.0000, 0.2674)  3 Cd 3.05
Cd (0.0000, 0.0000, 0.3867)  3 Tl 3.05

---

(4)
# Li3PmGa2

A geometry-optimized Li3PmGa2 structure (PBE, Alexandria via LeMat-Bulk).

Properties
ΔE_f = -32.32 kJ per mole of atoms
size of the total moment = 0.000 μB per formula unit
energy relative to the lowest polymorph listed for this composition = 0 meV per atom
E_tot = -74.22 eV per cell

a = 13.8529 Å, b = 4.5732 Å, c = 8.5106 Å
α = 90.00°, β = 118.70°, γ = 90.00°
Closest atoms and distances in Å follow each position.
Space group C2/m (No. 12)
Inequivalent atoms, fractional coordinates:
Li (0.0612, 0.0000, 0.3865)  3 Ga 2.76-2.85, 5 Li 2.90-2.96
Li (0.0913, 0.5000, 0.6924)  1 Li 2.64, 3 Ga 2.71-2.82
Li (0.2091, 0.5000, 0.5242)  6 Li 2.64-2.91, 4 Ga 2.66-2.89
Pm (0.1363, 0.0000, 0.0186)  7 Ga 3.07-3.29, 5 Li 3.21-3.42
Ga (0.0551, 0.5000, 0.1812)  4 Li 2.66-2.85, 2 Ga 2.71-2.83
Ga (0.2221, 0.0000, 0.7405)  6 Li 2.76-2.89, 1 Ga 2.83, 2 Pm 3.07

---

(5)
# ZrIn2Sb

A geometry-optimized ZrIn2Sb structure (PBE, Alexandria via LeMat-Bulk).

Properties
E_form (uncorrected) = 86 meV/atom
size of the total moment = 0.000 μB per formula unit
E_tot = -71.21 eV per cell

a = 7.3542 Å, b = 7.3542 Å, c = 7.3542 Å
α = 90.00°, β = 90.00°, γ = 90.00°
Closest atoms and distances in Å follow each position.
Space group F-43m (No. 216)
Inequivalent atoms, fractional coordinates:
Zr (0.0000, 0.0000, 0.0000)  4 In 3.18, 4 Sb 3.18
In (0.0000, 0.0000, 0.5000)  4 In 3.18, 4 Sb 3.18
In (0.2500, 0.2500, 0.7500)  4 Zr 3.18, 4 In 3.18
Sb (0.2500, 0.2500, 0.2500)  4 Zr 3.18, 4 In 3.18

---

(6)
# Li6SiIr2

A geometry-optimized Li6SiIr2 structure (PBE, Alexandria via LeMat-Bulk).

Properties
E_form (uncorrected) = -232 meV/atom
size of the total moment = 0.000 μB per formula unit
energy relative to the lowest polymorph listed for this composition = 0 meV per atom
E_tot = -73.43 eV per cell

a = 7.0557 Å, b = 12.9470 Å, c = 2.9234 Å
α = 90.00°, β = 98.76°, γ = 90.00°
Closest atoms and distances in Å follow each position.
Space group C2/m (No. 12)
Inequivalent atoms, fractional coordinates:
Li (0.1720, 0.1765, 0.3344)  1 Li 2.33
Li (0.1851, 0.0000, 0.8599)  2 Si 2.60-2.68, 5 Li 2.68-2.85, 2 Ir 2.87
Si (0.0000, 0.5000, 0.5000)  4 Ir 2.35, 2 Li 2.60
Ir (0.0000, 0.3577, 0.0000)  2 Si 2.35

---

(7)
# FeTcCl2

A geometry-optimized FeTcCl2 structure (PBE, Alexandria via LeMat-Bulk).

Properties
E_form (uncorrected) = 551 meV/atom
size of the total moment = 5.968 μB per formula unit
energy relative to the lowest polymorph listed for this composition = 633 meV per atom
E_tot = -20.32 eV per cell

a = 2.9541 Å, b = 4.0912 Å, c = 5.7561 Å
α = 90.00°, β = 90.00°, γ = 90.00°
Closest atoms and distances in Å follow each position.
Space group Pmmm (No. 47)
Inequivalent atoms, fractional coordinates:
Fe (0.0000, 0.0000, 0.0000)  4 Cl 2.52
Tc (0.5000, 0.0000, 0.5000)  4 Cl 2.52
Cl (0.0000, 0.5000, 0.5000)  4 Tc 2.52
Cl (0.5000, 0.5000, 0.0000)  4 Fe 2.52

---

(8)
# TaFeAg4

A geometry-optimized TaFeAg4 structure (PBE, Alexandria via LeMat-Bulk).

Properties
ΔE_f = 65.03 kJ per mole of atoms
size of the total moment = 1.439 μB per formula unit
E_tot = -110.71 eV per cell

a = 7.5283 Å, b = 7.5283 Å, c = 7.5283 Å
α = 90.00°, β = 90.00°, γ = 90.00°
Closest atoms and distances in Å follow each position.
Space group F-43m (No. 216)
Inequivalent atoms, fractional coordinates:
Ta (0.0000, 0.0000, 0.0000)  12 Ag 3.12, 4 Fe 3.26
Fe (0.2500, 0.2500, 0.2500)  12 Ag 3.12, 4 Ta 3.26
Ag (0.1248, 0.1248, 0.6248)  6 Ag 2.66-2.67

---

Question: Which of these has the highest size of the total moment?
Answer: NdDySc4

---

Question: Number 4 is which compound?
Answer: Li3PmGa2

---

Question: What is the E_tot in the fifth record?
Answer: -71.21 eV per cell